DFT (PBE+U) results for an optimized crystal structure of Li4MnF7.

```
24
Lattice="5.680 -0.004 0.012 1.647 6.781 -0.028 2.622 2.844 6.428" Properties=species:S:1:pos:R:3 pbc="T T T"
Li 2.628 4.627 1.928
Li 5.064 3.667 3.994
Li 3.879 5.989 5.201
Li 3.761 2.380 0.943
Li 6.188 7.240 5.468
Li 6.071 3.631 1.210
Li 4.885 5.954 2.417
Li 7.321 4.993 4.482
Mn 0.000 0.000 0.000
Mn 1.311 1.422 3.214
F 3.498 3.956 5.156
F 5.945 1.496 1.575
F 2.888 1.148 2.249
F 2.233 3.423 0.406
F 4.400 3.940 2.206
F 3.247 5.913 0.403
F 2.900 6.077 3.318
F 7.049 3.544 3.093
F 6.702 3.707 6.008
F 5.550 5.680 4.205
F 7.716 6.198 6.005
F 7.061 8.473 4.162
F 4.004 8.125 4.836
F 6.451 5.665 1.255
```

**Symmetry**: P-1, No. 2
**Theoretical density**: 2.889 Mg/m³
**Energy above the most stable polymorph in this dataset**: 0.000 eV per atom
**Magnetization**: 8.00 μB/cell